# 1
ZnMo2Os, relaxed, DFT GGA-PBE; total moment = 0.000 μB/atom; space-group type = Cm (8); volume = 60.5 Å³ per cell; E = -33.38 eV for the cell shown; ΔH_f (0 K) = 0.20 eV/atom
1.0
4.605 -1.404 0.000
4.605 1.404 0.000
-0.923 0.000 4.679
Zn Mo Os
1 2 1
direct
0.000 0.000 0.000
0.245 0.245 0.760
0.489 0.489 0.491
0.749 0.749 0.263

=====

# 2
AcLaHgAu, relaxed, DFT GGA-PBE; total moment = 0.000 μB/atom; space-group type = F-43m (216); energy above the most stable polymorph in this dataset = 0.07 eV/f.u.; volume = 119.9 Å³ per cell; E = -15.08 eV for the cell shown; ΔH_f (0 K) = -0.62 eV/atom
1.0
0.000 3.914 3.914
3.914 0.000 3.914
3.914 3.914 0.000
Ac La Hg Au
1 1 1 1
direct
0.000 0.000 0.000
0.500 0.500 0.500
0.250 0.250 0.250
0.750 0.750 0.750

=====

# 3
PaBiW, relaxed, DFT GGA-PBE; total moment = 0.000 μB/atom; space-group type = I4/mmm (139); volume = 154.7 Å³ per cell; E = -52.57 eV for the cell shown; ΔH_f (0 K) = 0.02 eV/atom
1.0
-1.606 1.606 14.998
1.606 -1.606 14.998
1.606 1.606 -14.998
Pa Bi W
2 2 2
direct
0.157 0.157 0.000
0.843 0.843 0.000
0.432 0.432 0.000
0.568 0.568 0.000
0.275 0.275 0.000
0.725 0.725 0.000

=====

# 4
ScAg2TeOs, relaxed, DFT GGA-PBE; total moment = 0.347 μB/atom; space-group type = P4/mmm (123); volume = 136.8 Å³ per cell; E = -19.91 eV for the cell shown; formation energy from raw total energies = 1.30 eV per atom
1.0
5.042 0.000 0.000
0.000 5.042 0.000
0.000 0.000 5.382
Sc Ag Te Os
1 2 1 1
direct
0.000 0.000 0.000
0.000 0.500 0.500
0.500 0.000 0.500
0.000 0.000 0.500
0.500 0.500 0.000

=====

Among the records above, which one has the lowest E?
PaBiW